Record 1
Entry from the Alexandria database: a geometry-optimized AlTc3 structure (PBE).

a b c (Å): 2.802 4.025 5.156
angles (deg): 90.00 90.00 90.00
Atoms (fractional coordinates):
Tc: 0.500 0.500 0.761
Tc: 0.000 0.000 0.500
Tc: 0.500 0.500 0.239
Al: 0.000 0.000 0.000

SG: Pmmm
DOS(E_F): 1.18 states/eV per atom
crystal system: orthorhombic
energy relative to the elements: -130 meV/atom

Record 2
Entry from the Alexandria database: a geometry-optimized Al2Tc3 structure (PBE).

a b c (Å): 4.147 4.147 5.242
angles (deg): 90.00 90.00 120.00
Atoms (fractional coordinates):
Al: 0.667 0.333 0.137
Al: 0.333 0.667 0.863
Tc: 0.000 0.000 0.000
Tc: 0.667 0.333 0.616
Tc: 0.333 0.667 0.384

SG: P-3m1
distance to the lowest polymorph of the same formula: 430 meV/atom
DOS(E_F): 1.08 states/eV per atom
crystal system: trigonal
energy relative to the elements: 277 meV/atom

Record 3
Entry from the Alexandria database: a geometry-optimized AlTc3 structure (PBE).

a b c (Å): 2.817 2.817 8.475
angles (deg): 90.00 90.00 120.00
Atoms (fractional coordinates):
Tc: 0.000 0.000 0.500
Tc: 0.667 0.333 0.251
Tc: 0.667 0.333 0.749
Al: 0.000 0.000 0.000

SG: P-6m2
DOS(E_F): 1.38 states/eV per atom
crystal system: hexagonal
energy relative to the elements: -160 meV/atom

Record 4
Entry from the Alexandria database: a geometry-optimized Al2Tc structure (PBE).

a b c (Å): 4.740 4.740 5.065
angles (deg): 103.75 103.94 119.25
Atoms (fractional coordinates):
Al: 0.955 0.545 0.750
Al: 0.045 0.455 0.250
Al: 0.295 0.205 0.750
Al: 0.705 0.795 0.250
Tc: 0.625 0.875 0.750
Tc: 0.375 0.125 0.250

SG: C2/c
distance to the lowest polymorph of the same formula: 37 meV/atom
DOS(E_F): 1.04 states/eV per atom
crystal system: monoclinic
energy relative to the elements: -436 meV/atom